1.
Material: LaGaRe2Pb
Method: DFT, GGA-PBE
State: optimized geometry

Properties
energy of formation from the pure elements = 1.7036 eV/atom

Unit cell a=5.119 b=5.154 c=5.119 alpha=90.00 beta=90.00 gamma=90.00
Fractional coordinates of all 5 atoms:
Pb (0.000, 0.000, 0.000)
Re (0.000, 0.000, 0.500)
Re (0.500, 0.000, 0.000)
Ga (0.000, 0.500, 0.000)
La (0.500, 0.500, 0.500)



2.
Material: LaCdCl2
Method: DFT, GGA-PBE
State: optimized geometry

Properties
uncorrected formation energy = -1.357 eV per atom
polymorph energy (0 for the lowest one) = 74 meV per atom

Unit cell a=8.084 b=8.084 c=4.760 alpha=72.43 beta=72.43 gamma=25.35
Fractional coordinates of all 4 atoms:
Cl (0.995, 0.995, 0.005)
Cl (0.170, 0.170, 0.325)
Cd (0.817, 0.817, 0.689)
La (0.519, 0.519, 0.481)



3.
Material: Rb2YAuBr6
Method: DFT, GGA-PBE
State: optimized geometry

Properties
uncorrected formation energy = -1.404 eV per atom

Unit cell a=7.919 b=7.919 c=8.060 alpha=60.58 beta=60.58 gamma=90.00
Fractional coordinates of all 10 atoms:
Y (0.500, 0.500, 0.000)
Au (0.000, 0.000, 0.000)
Br (0.259, 0.259, 0.482)
Br (0.741, 0.741, 0.518)
Br (0.250, 0.250, 0.000)
Br (0.750, 0.750, 0.000)
Br (0.750, 0.250, 0.000)
Br (0.250, 0.750, 0.000)
Rb (0.750, 0.250, 0.500)
Rb (0.250, 0.750, 0.500)



4.
Material: HgPt2I8
Method: DFT, GGA-PBE
State: optimized geometry

Properties
uncorrected formation energy = -0.047 eV per atom

Unit cell a=8.711 b=7.056 c=11.630 alpha=105.19 beta=90.00 gamma=128.12
Fractional coordinates of all 11 atoms:
I (0.811, 0.061, 0.199)
I (0.250, 0.061, 0.199)
I (0.189, 0.939, 0.801)
I (0.332, 0.663, 0.401)
I (0.750, 0.939, 0.801)
I (0.850, 0.700, 0.386)
I (0.150, 0.300, 0.614)
I (0.668, 0.337, 0.599)
Hg (0.000, 0.000, 0.000)
Pt (0.914, 0.829, 0.624)
Pt (0.086, 0.171, 0.376)



5.
Material: SrLiReN3
Method: DFT, GGA-PBE
State: optimized geometry

Properties
uncorrected formation energy = -0.437 eV per atom

Unit cell a=5.708 b=5.708 c=7.318 alpha=67.24 beta=67.24 gamma=73.75
Fractional coordinates of all 12 atoms:
Sr (0.706, 0.706, 0.751)
Sr (0.294, 0.294, 0.249)
Li (0.339, 0.661, 0.500)
Li (0.661, 0.339, 0.500)
Re (0.054, 0.054, 0.790)
Re (0.946, 0.946, 0.210)
N (0.276, 0.276, 0.613)
N (0.165, 0.737, 0.769)
N (0.737, 0.165, 0.769)
N (0.263, 0.835, 0.231)
N (0.835, 0.263, 0.231)
N (0.724, 0.724, 0.387)



6.
Material: Be3Fe
Method: DFT, GGA-PBE
State: optimized geometry

Properties
energy of formation from the pure elements = -0.0714 eV/atom

Unit cell a=2.528 b=2.528 c=5.405 alpha=90.00 beta=90.00 gamma=90.00
Fractional coordinates of all 4 atoms:
Be (0.500, 0.500, 0.727)
Be (0.000, 0.000, 0.500)
Be (0.500, 0.500, 0.273)
Fe (0.000, 0.000, 0.000)



7.
Material: La2MgRu
Method: DFT, GGA-PBE
State: optimized geometry

Properties
energy of formation from the pure elements = -0.0293 eV/atom

Unit cell a=5.146 b=5.146 c=3.877 alpha=90.00 beta=90.00 gamma=90.00
Fractional coordinates of all 4 atoms:
La (0.000, 0.000, 0.000)
La (0.500, 0.500, 0.000)
Mg (0.500, 0.000, 0.500)
Ru (0.000, 0.500, 0.500)



8.
Material: Ho2Sc3Sn4
Method: DFT, GGA-PBE
State: optimized geometry

Properties
energy of formation from the pure elements = -0.7388 eV/atom

Unit cell a=7.683 b=7.947 c=7.910 alpha=90.00 beta=90.00 gamma=110.81
Fractional coordinates of all 18 atoms:
Ho (0.557, 0.191, 0.323)
Ho (0.943, 0.809, 0.823)
Ho (0.443, 0.809, 0.677)
Ho (0.057, 0.191, 0.177)
Sc (0.000, 0.500, 0.500)
Sc (0.500, 0.500, 0.000)
Sc (0.740, 0.248, 0.836)
Sc (0.760, 0.752, 0.336)
Sc (0.260, 0.752, 0.164)
Sc (0.240, 0.248, 0.664)
Sn (0.839, 0.085, 0.542)
Sn (0.661, 0.915, 0.042)
Sn (0.161, 0.915, 0.458)
Sn (0.339, 0.085, 0.958)
Sn (0.860, 0.492, 0.137)
Sn (0.640, 0.508, 0.637)
Sn (0.140, 0.508, 0.863)
Sn (0.360, 0.492, 0.363)



9.
Material: PmDyAlCd
Method: DFT, GGA-PBE
State: optimized geometry

Properties
energy of formation from the pure elements = -0.3455 eV/atom
polymorph energy (0 for the lowest one) = 13 meV per atom

Unit cell a=5.270 b=5.270 c=5.270 alpha=60.00 beta=60.00 gamma=60.00
Fractional coordinates of all 4 atoms:
Cd (0.750, 0.750, 0.750)
Pm (0.000, 0.000, 0.000)
Al (0.250, 0.250, 0.250)
Dy (0.500, 0.500, 0.500)



10.
Material: Sr2MoPb
Method: DFT, GGA-PBE
State: optimized geometry

Properties
energy of formation from the pure elements = 0.3961 eV/atom

Unit cell a=3.807 b=3.807 c=9.078 alpha=90.00 beta=90.00 gamma=90.00
Fractional coordinates of all 4 atoms:
Mo (0.000, 0.000, 0.571)
Pb (0.500, 0.500, 0.680)
Sr (0.000, 0.000, 0.929)
Sr (0.500, 0.500, 0.320)



11.
Material: SrSi2Ni
Method: DFT, GGA-PBE
State: optimized geometry

Properties
uncorrected formation energy = -0.017 eV per atom

Unit cell a=5.093 b=5.093 c=5.093 alpha=132.20 beta=107.04 gamma=92.02
Fractional coordinates of all 4 atoms:
Ni (0.142, 0.642, 0.500)
Si (0.026, 0.026, 0.000)
Si (0.828, 0.328, 0.500)
Sr (0.504, 0.504, 0.000)



12.
Material: TmHI
Method: DFT, GGA-PBE
State: optimized geometry

Unit cell a=3.777 b=3.882 c=10.592 alpha=90.01 beta=89.99 gamma=90.01
Fractional coordinates of all 6 atoms:
Tm (0.250, 0.250, 0.610)
Tm (0.750, 0.750, 0.390)
H (0.750, 0.250, 0.493)
H (0.250, 0.750, 0.507)
I (0.250, 0.750, 0.174)
I (0.750, 0.250, 0.826)



VASP energy (computed, eV per atom): -5.608, -3.741, -3.575, -2.300, -7.274, -4.982, -5.211, -5.646, -3.848, -4.080, -4.594, -3.892